(1)
The following is a DFT calculation (PBE) of a relaxed EuGdHgIr crystal.

```
data_EuGdHgIr
_chemical_formula_sum 'Eu4 Gd4 Hg4 Ir4'
_symmetry_space_group_name_H-M 'F -4 3 m'
_symmetry_Int_Tables_number 216
_symmetry_space_group_name_Hall 'F -4 2 3'
_cell_length_a 7.261
_cell_length_b 7.261
_cell_length_c 7.261
_cell_angle_alpha 90.00
_cell_angle_beta 90.00
_cell_angle_gamma 90.00
loop_
_atom_site_label
_atom_site_fract_x
_atom_site_fract_y
_atom_site_fract_z
_atom_site_occupancy
Eu1 0.000 0.000 0.000 1
Gd1 0.000 0.000 0.500 1
Hg1 0.250 0.250 0.250 1
Ir1 0.250 0.250 0.750 1
```

Calculated values
The total energy comes out at -8.830 eV per atom. The energy of formation from the pure elements is -0.45 eV/atom.



(2)
The following is a DFT calculation (PBE) of a relaxed SbAsBr2 crystal.

```
data_SbAsBr2
_chemical_formula_sum 'Sb2 As2 Br4'
_symmetry_space_group_name_H-M 'I m m m'
_symmetry_Int_Tables_number 71
_symmetry_space_group_name_Hall '-I 2 2'
_cell_length_a 3.465
_cell_length_b 6.029
_cell_length_c 9.636
_cell_angle_alpha 90.00
_cell_angle_beta 90.00
_cell_angle_gamma 90.00
loop_
_atom_site_label
_atom_site_fract_x
_atom_site_fract_y
_atom_site_fract_z
_atom_site_occupancy
Sb1 0.000 0.000 0.000 1
As1 0.000 0.000 0.500 1
Br1 0.000 0.500 0.238 1
```

Calculated values
The total energy comes out at -2.800 eV per atom. As for the energy above the lowest structure with this stoichiometry: 2.00 eV/f.u. Its uncorrected formation energy is 0.2299 eV per atom.



(3)
The following is a DFT calculation (PBE) of a relaxed Al2FeW crystal.

```
data_Al2FeW
_chemical_formula_sum 'Al2 Fe1 W1'
_symmetry_space_group_name_H-M 'P 4/m m m'
_symmetry_Int_Tables_number 123
_symmetry_space_group_name_Hall '-P 4 2'
_cell_length_a 2.838
_cell_length_b 2.838
_cell_length_c 6.706
_cell_angle_alpha 90.00
_cell_angle_beta 90.00
_cell_angle_gamma 90.00
loop_
_atom_site_label
_atom_site_fract_x
_atom_site_fract_y
_atom_site_fract_z
_atom_site_occupancy
Al1 0.000 0.000 0.206 1
Fe1 0.500 0.500 0.000 1
W1 0.500 0.500 0.500 1
```

Calculated values
The total energy comes out at -7.366 eV per atom. As for the energy above the lowest structure with this stoichiometry: 0.00 eV/f.u. The energy of formation from the pure elements is -0.14 eV/atom.



(4)
The following is a DFT calculation (PBE) of a relaxed CaNbGeTeP crystal.

```
data_CaNbGeTeP
_chemical_formula_sum 'Ca2 Nb2 Ge2 Te2 P2'
_symmetry_space_group_name_H-M 'C 1 m 1'
_symmetry_Int_Tables_number 8
_symmetry_space_group_name_Hall 'C -2y'
_cell_length_a 8.543
_cell_length_b 3.834
_cell_length_c 8.152
_cell_angle_alpha 90.00
_cell_angle_beta 116.64
_cell_angle_gamma 90.00
loop_
_atom_site_label
_atom_site_fract_x
_atom_site_fract_y
_atom_site_fract_z
_atom_site_occupancy
Ca1 0.000 0.000 0.000 1
Nb1 0.215 0.000 0.513 1
Ge1 0.061 0.500 0.651 1
Te1 0.301 0.500 0.301 1
P1 0.228 0.000 0.835 1
```

Calculated values
The total energy comes out at -5.523 eV per atom. As for the energy above the lowest structure with this stoichiometry: 0.65 eV/f.u. Its uncorrected formation energy is -0.4751 eV per atom.



(5)
The following is a DFT calculation (PBE) of a relaxed Bi2RuPtPb crystal.

```
data_Bi2RuPtPb
_chemical_formula_sum 'Bi2 Ru1 Pt1 Pb1'
_symmetry_space_group_name_H-M 'P 4/m m m'
_symmetry_Int_Tables_number 123
_symmetry_space_group_name_Hall '-P 4 2'
_cell_length_a 5.227
_cell_length_b 5.227
_cell_length_c 5.069
_cell_angle_alpha 90.00
_cell_angle_beta 90.00
_cell_angle_gamma 90.00
loop_
_atom_site_label
_atom_site_fract_x
_atom_site_fract_y
_atom_site_fract_z
_atom_site_occupancy
Bi1 0.000 0.500 0.000 1
Ru1 0.000 0.000 0.000 1
Pt1 0.000 0.000 0.500 1
Pb1 0.500 0.500 0.500 1
```

Calculated values
The total energy comes out at -4.804 eV per atom. The energy of formation from the pure elements is 0.55 eV/atom.



(6)
The following is a DFT calculation (PBE) of a relaxed FeSb2Te crystal.

```
data_FeSb2Te
_chemical_formula_sum 'Fe1 Sb2 Te1'
_symmetry_space_group_name_H-M 'P 4 m m'
_symmetry_Int_Tables_number 99
_symmetry_space_group_name_Hall 'P 4 -2'
_cell_length_a 3.162
_cell_length_b 3.162
_cell_length_c 9.365
_cell_angle_alpha 90.00
_cell_angle_beta 90.00
_cell_angle_gamma 90.00
loop_
_atom_site_label
_atom_site_fract_x
_atom_site_fract_y
_atom_site_fract_z
_atom_site_occupancy
Fe1 0.000 0.000 0.000 1
Sb1 0.000 0.000 0.486 1
Sb2 0.500 0.500 0.186 1
Te1 0.500 0.500 0.842 1
```

Calculated values
The total energy comes out at -4.740 eV per atom. Its uncorrected formation energy is 0.2218 eV per atom.



(7)
The following is a DFT calculation (PBE) of a relaxed PrNdGaPb crystal.

```
data_PrNdGaPb
_chemical_formula_sum 'Pr4 Nd4 Ga4 Pb4'
_symmetry_space_group_name_H-M 'F -4 3 m'
_symmetry_Int_Tables_number 216
_symmetry_space_group_name_Hall 'F -4 2 3'
_cell_length_a 7.699
_cell_length_b 7.699
_cell_length_c 7.699
_cell_angle_alpha 90.00
_cell_angle_beta 90.00
_cell_angle_gamma 90.00
loop_
_atom_site_label
_atom_site_fract_x
_atom_site_fract_y
_atom_site_fract_z
_atom_site_occupancy
Pr1 0.000 0.000 0.000 1
Nd1 0.000 0.000 0.500 1
Ga1 0.250 0.250 0.250 1
Pb1 0.250 0.250 0.750 1
```

Calculated values
The total energy comes out at -4.541 eV per atom. The energy of formation from the pure elements is -0.47 eV/atom.



(8)
The following is a DFT calculation (PBE) of a relaxed NdTm2V crystal.

```
data_NdTm2V
_chemical_formula_sum 'Nd1 Tm2 V1'
_symmetry_space_group_name_H-M 'P 4/m m m'
_symmetry_Int_Tables_number 123
_symmetry_space_group_name_Hall '-P 4 2'
_cell_length_a 3.560
_cell_length_b 3.560
_cell_length_c 8.726
_cell_angle_alpha 90.00
_cell_angle_beta 90.00
_cell_angle_gamma 90.00
loop_
_atom_site_label
_atom_site_fract_x
_atom_site_fract_y
_atom_site_fract_z
_atom_site_occupancy
Nd1 0.000 0.000 0.000 1
Tm1 0.500 0.500 0.305 1
V1 0.000 0.000 0.500 1
```

Calculated values
The total energy comes out at -5.523 eV per atom. As for the energy above the lowest structure with this stoichiometry: 0.00 eV/f.u. The energy of formation from the pure elements is 0.18 eV/atom.



(9)
The following is a DFT calculation (PBE) of a relaxed PrEu2Y crystal.

```
data_PrEu2Y
_chemical_formula_sum 'Pr4 Eu8 Y4'
_symmetry_space_group_name_H-M 'F m -3 m'
_symmetry_Int_Tables_number 225
_symmetry_space_group_name_Hall '-F 4 2 3'
_cell_length_a 8.399
_cell_length_b 8.399
_cell_length_c 8.399
_cell_angle_alpha 90.00
_cell_angle_beta 90.00
_cell_angle_gamma 90.00
loop_
_atom_site_label
_atom_site_fract_x
_atom_site_fract_y
_atom_site_fract_z
_atom_site_occupancy
Pr1 0.000 0.000 0.000 1
Eu1 0.250 0.250 0.250 1
Y1 0.000 0.000 0.500 1
```

Calculated values
The total energy comes out at -7.810 eV per atom. As for the energy above the lowest structure with this stoichiometry: 0.23 eV/f.u. The energy of formation from the pure elements is 0.14 eV/atom.



(10)
The following is a DFT calculation (PBE) of a relaxed K2HoPtO6 crystal.

```
data_K2HoPtO6
_chemical_formula_sum 'K8 Ho4 Pt4 O24'
_symmetry_space_group_name_H-M 'F m -3 m'
_symmetry_Int_Tables_number 225
_symmetry_space_group_name_Hall '-F 4 2 3'
_cell_length_a 8.350
_cell_length_b 8.350
_cell_length_c 8.350
_cell_angle_alpha 90.00
_cell_angle_beta 90.00
_cell_angle_gamma 90.00
loop_
_atom_site_label
_atom_site_fract_x
_atom_site_fract_y
_atom_site_fract_z
_atom_site_occupancy
K1 0.250 0.250 0.250 1
Ho1 0.000 0.000 0.000 1
Pt1 0.000 0.000 0.500 1
O1 0.000 0.000 0.266 1
```

Calculated values
The total energy comes out at -5.739 eV per atom. Its uncorrected formation energy is -1.4825 eV per atom.



(11)
The following is a DFT calculation (PBE) of a relaxed Cs3NaCd2 crystal.

```
data_Cs3NaCd2
_chemical_formula_sum 'Cs12 Na4 Cd8'
_symmetry_space_group_name_H-M 'C 1 2/m 1'
_symmetry_Int_Tables_number 12
_symmetry_space_group_name_Hall '-C 2y'
_cell_length_a 23.711
_cell_length_b 5.324
_cell_length_c 13.565
_cell_angle_alpha 90.00
_cell_angle_beta 117.64
_cell_angle_gamma 90.00
loop_
_atom_site_label
_atom_site_fract_x
_atom_site_fract_y
_atom_site_fract_z
_atom_site_occupancy
Cs1 0.089 0.000 0.374 1
Cs2 0.115 0.000 0.030 1
Cs3 0.134 0.500 0.723 1
Na1 0.232 0.500 0.296 1
Cd1 0.232 0.500 0.535 1
Cd2 0.247 0.500 0.050 1
```

Calculated values
The total energy comes out at -0.999 eV per atom. The energy of formation from the pure elements is -0.05 eV/atom.



(12)
The following is a DFT calculation (PBE) of a relaxed LaGeH2Rh2 crystal.

```
data_LaGeH2Rh2
_chemical_formula_sum 'La2 Ge2 H4 Rh4'
_symmetry_space_group_name_H-M 'P 1 21/m 1'
_symmetry_Int_Tables_number 11
_symmetry_space_group_name_Hall '-P 2yb'
_cell_length_a 4.704
_cell_length_b 5.815
_cell_length_c 6.462
_cell_angle_alpha 90.00
_cell_angle_beta 92.63
_cell_angle_gamma 90.00
loop_
_atom_site_label
_atom_site_fract_x
_atom_site_fract_y
_atom_site_fract_z
_atom_site_occupancy
La1 0.228 0.250 0.138 1
Ge1 0.194 0.750 0.369 1
H1 0.268 0.750 0.815 1
H2 0.446 0.250 0.800 1
Rh1 0.269 0.015 0.667 1
```

Calculated values
The total energy comes out at -5.676 eV per atom.



no.,total magnetic moment (μB per formula unit)
1,14.11
2,0.00
3,0.00
4,1.97
5,0.00
6,1.10
7,0.00
8,3.22
9,14.47
10,2.39
11,0.00
12,0.00